# 1
Pm3Y5Tm2 | GGA-PBE | relaxed

Calculated values
As for the crystal system: orthorhombic. For the density of states at the Fermi level, the calculation gives 1.843 states/eV per atom.

Cell lengths 12.9608, 16.9444, 6.3126 Å; angles 90.00, 90.00, 90.00 degrees
Space group Ibam (No. 72)
One atom of each set of equivalent atoms:
Pm1 0.0000 0.0000 0.2500 [4 per cell]
Pm2 0.1597 0.2472 0.0000 [8 per cell]
Y1 0.0000 0.5000 0.2500 [4 per cell]
Y2 0.0973 0.3425 0.5000 [8 per cell]
Y3 0.2492 0.5000 0.2500 [8 per cell]
Tm1 0.0997 0.1556 0.5000 [8 per cell]


# 2
Pm3YTm | GGA-PBE | relaxed

Calculated values
As for the crystal system: orthorhombic. For the density of states at the Fermi level, the calculation gives 1.482 states/eV per atom.

Cell lengths 5.5108, 16.9086, 7.1271 Å; angles 90.00, 90.00, 90.00 degrees
Space group Cmc2_1 (No. 36)
One atom of each set of equivalent atoms:
Pm1 0.0000 0.0000 0.0000 [4 per cell]
Pm2 0.0000 0.1997 0.4978 [4 per cell]
Pm3 0.0000 0.3904 0.2500 [4 per cell]
Y1 0.0000 0.3902 0.7476 [4 per cell]
Tm1 0.0000 0.1990 0.9985 [4 per cell]


# 3
Pm2YTm5 | GGA-PBE | relaxed

Calculated values
As for the crystal system: monoclinic. For the density of states at the Fermi level, the calculation gives 1.462 states/eV per atom.

Cell lengths 16.0923, 9.7921, 6.4974 Å; angles 90.00, 98.66, 90.00 degrees
Space group C2/c (No. 15)
One atom of each set of equivalent atoms:
Pm1 0.0777 0.2446 0.1151 [8 per cell]
Y1 0.2500 0.2500 0.0000 [4 per cell]
Tm1 0.0000 0.4427 0.7500 [4 per cell]
Tm2 0.1009 0.0900 0.6460 [8 per cell]
Tm3 0.1963 0.4119 0.5222 [8 per cell]


# 4
Pm2YTm | GGA-PBE | relaxed

Calculated values
As for the crystal system: tetragonal. For the density of states at the Fermi level, the calculation gives 1.628 states/eV per atom.

Cell lengths 5.1020, 5.1020, 5.0273 Å; angles 90.00, 90.00, 90.00 degrees
Space group P4/mmm (No. 123)
One atom of each set of equivalent atoms:
Pm1 0.0000 0.5000 0.0000 [2 per cell]
Y1 0.0000 0.0000 0.5000 [1 per cell]
Tm1 0.5000 0.5000 0.5000 [1 per cell]


# 5
Pm2Y4Tm5 | GGA-PBE | relaxed

Calculated values
As for the crystal system: triclinic. For the density of states at the Fermi level, the calculation gives 1.537 states/eV per atom.

Cell lengths 3.6665, 9.1518, 10.8892 Å; angles 102.63, 99.67, 90.01 degrees
Space group P-1 (No. 2)
One atom of each set of equivalent atoms:
Pm1 0.1160 0.0048 0.2316 [2 per cell]
Y1 0.1716 0.4193 0.3434 [2 per cell]
Y2 0.4722 0.7948 0.9433 [2 per cell]
Tm1 0.0000 0.5000 0.0000 [1 per cell]
Tm2 0.2503 0.8282 0.5004 [2 per cell]
Tm3 0.3817 0.3066 0.7636 [2 per cell]


# 6
Pm2Y3Tm3 | GGA-PBE | relaxed

Calculated values
As for the crystal system: monoclinic. For the density of states at the Fermi level, the calculation gives 1.501 states/eV per atom.

Cell lengths 7.1432, 14.2320, 6.1568 Å; angles 90.00, 125.46, 90.00 degrees
Space group C2/m (No. 12)
One atom of each set of equivalent atoms:
Pm1 0.0000 0.2487 0.0000 [4 per cell]
Y1 0.0000 0.3756 0.5000 [4 per cell]
Y2 0.0000 0.5000 0.0000 [2 per cell]
Tm1 0.0000 0.0000 0.0000 [2 per cell]
Tm2 0.0000 0.1229 0.5000 [4 per cell]


# 7
PmY7Tm4 | GGA-PBE | relaxed

Calculated values
As for the crystal system: monoclinic. For the density of states at the Fermi level, the calculation gives 1.820 states/eV per atom.

Cell lengths 15.9697, 5.8487, 9.3883 Å; angles 90.00, 117.43, 90.00 degrees
Space group C2/m (No. 12)
One atom of each set of equivalent atoms:
Pm1 0.0000 0.0000 0.0000 [2 per cell]
Y1 0.0000 0.5000 0.0000 [2 per cell]
Y2 0.0837 0.0000 0.4478 [4 per cell]
Y3 0.2128 0.0000 0.2396 [4 per cell]
Y4 0.2158 0.0000 0.8811 [4 per cell]
Tm1 0.0712 0.5000 0.6985 [4 per cell]
Tm2 0.1704 0.5000 0.3826 [4 per cell]


# 8
Pm2YTm | GGA-PBE | relaxed

Calculated values
As for the crystal system: tetragonal. For the density of states at the Fermi level, the calculation gives 1.469 states/eV per atom.

Cell lengths 3.5972, 3.5972, 10.1156 Å; angles 90.00, 90.00, 90.00 degrees
Space group P4/mmm (No. 123)
One atom of each set of equivalent atoms:
Pm1 0.0000 0.0000 0.2469 [2 per cell]
Y1 0.5000 0.5000 0.5000 [1 per cell]
Tm1 0.5000 0.5000 0.0000 [1 per cell]


no.,ΔH_f (0 K) (meV per atom),E above lowest polymorph (meV/atom),total magnetic moment (μB per cell)
1,350,162,0.00
2,40,0,0.00
3,174,148,0.00
4,22,7,0.00
5,55,0,0.00
6,25,0,0.00
7,237,237,0.52
8,21,6,0.00